# 1
A crystal of ErCo2 relaxed with PBEsol, computed with meta-GGA SCAN.

a = 4.9392 Å, b = 4.9392 Å, c = 4.9392 Å
α = 60.00°, β = 60.00°, γ = 60.00°
Last column: nearest neighbours and their distance in Å.
Fractional coordinates of all 6 atoms:
Co: 0.1250 0.6250 0.1250  6 Co 2.47
Co: 0.1250 0.1250 0.6250  6 Co 2.47
Co: 0.1250 0.1250 0.1250  6 Co 2.47
Co: 0.6250 0.1250 0.1250  6 Co 2.47
Er: 0.7500 0.7500 0.7500  12 Co 2.90, 4 Er 3.02
Er: 0.5000 0.5000 0.5000  12 Co 2.90, 4 Er 3.02

Values from the calculation:
Energy relative to the elements ... -0.202 eV per atom
DOS at the Fermi energy ... 2.85 states/eV/f.u.

***

# 2
A crystal of Cu2OsW relaxed with PBEsol, computed with meta-GGA SCAN.

a = 3.6578 Å, b = 3.6578 Å, c = 4.7200 Å
α = 112.80°, β = 112.80°, γ = 90.00°
Last column: nearest neighbours and their distance in Å.
Fractional coordinates of all 4 atoms:
Cu: 0.7500 0.2500 0.5000  4 Cu 2.59, 4 W 2.69, 4 Os 2.69
Cu: 0.2500 0.7500 0.5000  4 Cu 2.59, 4 Os 2.69, 4 W 2.69
Os: 0.5000 0.5000 0.0000  4 W 2.59, 8 Cu 2.69
W: 0.0000 0.0000 0.0000  4 Os 2.59, 8 Cu 2.69

Values from the calculation:
E above lowest polymorph ... 22 meV/atom
Energy relative to the elements ... 0.292 eV per atom
DOS at the Fermi energy ... 1.74 states/eV/f.u.